YCuC3: PBEsol geometry, SCAN.

Calculated values
E = -11.576 eV/atom
Crystal system = cubic
M_tot = 0.00 μB per formula unit

abc: 4.368 4.368 4.368
angles: 90.00 90.00 90.00
Space group Pm-3m (No. 221)
Symmetry-distinct sites (fractional):
Y 0.000 0.000 0.000 [1 per cell]
Cu 0.500 0.500 0.500 [1 per cell]
C 0.000 0.000 0.500 [3 per cell]

***

Sr2ZnMo: PBEsol geometry, SCAN.

Calculated values
E = -22.233 eV/atom
Crystal system = trigonal
M_tot = 0.00 μB per formula unit

abc: 3.3429 3.3429 31.2070
angles: 90.00 90.00 120.00
Space group R-3m (No. 166, hexagonal axes)
Symmetry-distinct sites (fractional):
Sr 0.0000 0.0000 0.2477 [6 per cell]
Zn 0.0000 0.0000 0.0000 [3 per cell]
Mo 0.0000 0.0000 0.5000 [3 per cell]

***

TePdI2: PBEsol geometry, SCAN.

Calculated values
Formation energy without anion corrections = 0.64 eV/atom
E = -35.233 eV/atom
Relative energy among the computed polymorphs = 0.9095 eV/atom
Crystal system = cubic
M_tot = 0.00 μB per formula unit

abc: 7.399 7.399 7.399
angles: 90.00 90.00 90.00
Space group Fm-3m (No. 225)
Symmetry-distinct sites (fractional):
Te 0.000 0.000 0.000 [4 per cell]
Pd 0.000 0.000 0.500 [4 per cell]
I 0.250 0.250 0.250 [8 per cell]